# PBE+U KLiMn2F6, relaxed
# * density: 3217 kg/m³
# * uncorrected energy: -5.6509 eV per atom
data_KLiMn2F6
_space_group_name_H-M_alt 'P 1'
_space_group_IT_number 1
_cell_length_a 5.684
_cell_length_b 5.691
_cell_length_c 5.950
_cell_angle_alpha 89.99
_cell_angle_beta 61.52
_cell_angle_gamma 60.06
loop_
_space_group_symop_operation_xyz
'x,y,z'
loop_
_atom_site_label
_atom_site_fract_x
_atom_site_fract_y
_atom_site_fract_z
K1 0.000 0.000 0.000
Li1 0.901 0.551 0.645
Mn1 0.509 0.746 0.238
Mn2 0.532 0.235 0.703
F1 0.023 0.545 0.930
F2 0.026 0.851 0.463
F3 0.393 0.122 0.460
F4 0.502 0.954 0.932
F5 0.612 0.434 0.934
F6 0.665 0.488 0.462